TmSbPO: relaxed, PBE-GGA.

Lattice parameters (Å, degrees): 4.295 5.921 6.020 90.00 90.00 90.00
Positions (direct):
O (0.000, 0.944, 0.393)
O (0.000, 0.056, 0.893)
P (0.500, 0.431, 0.295)
P (0.500, 0.569, 0.795)
Sb (0.500, 0.880, 0.482)
Sb (0.500, 0.120, 0.982)
Tm (0.000, 0.726, 0.083)
Tm (0.000, 0.274, 0.583)

***

TmSbPO: relaxed, PBE-GGA.

Lattice parameters (Å, degrees): 3.993 3.993 9.969 90.00 90.00 90.00
Positions (direct):
O (0.750, 0.250, 0.000)
O (0.250, 0.750, 0.000)
P (0.750, 0.750, 0.268)
P (0.250, 0.250, 0.732)
Sb (0.750, 0.250, 0.500)
Sb (0.250, 0.750, 0.500)
Tm (0.250, 0.250, 0.101)
Tm (0.750, 0.750, 0.899)

***

TmSbPO: relaxed, PBE-GGA.

Lattice parameters (Å, degrees): 3.667 6.665 8.091 90.00 90.00 90.00
Positions (direct):
O (0.000, 0.820, 0.433)
O (0.000, 0.180, 0.933)
P (0.500, 0.313, 0.321)
P (0.500, 0.687, 0.821)
Sb (0.000, 0.776, 0.019)
Sb (0.000, 0.224, 0.519)
Tm (0.500, 0.690, 0.480)
Tm (0.500, 0.310, 0.980)

***

TmSbPO: relaxed, PBE-GGA.

Lattice parameters (Å, degrees): 5.371 5.371 5.219 90.00 90.00 90.00
Positions (direct):
O (0.000, 0.000, 0.000)
O (0.500, 0.500, 0.000)
P (0.500, 0.000, 0.499)
P (0.000, 0.500, 0.501)
Sb (0.000, 0.500, 0.001)
Sb (0.500, 0.000, 0.999)
Tm (0.000, 0.000, 0.500)
Tm (0.500, 0.500, 0.500)

***

The evaluated total magnetic moment for the records listed, in turn: 0.01 0.02 0.02 0.00 μB/cell.
The evaluated ΔE to the lowest computed polymorph for the records listed, in turn: 98 0 85 341 meV per atom.